No. 1
Below is a relaxed structure of CdSbAs2, with properties calculated at the PBE level.

Unit cell a=7.1064 b=7.1064 c=7.1064 alpha=90.00 beta=90.00 gamma=90.00
Space group F-43m (No. 216)
Symmetry-distinct sites (fractional):
Cd 0.0000 0.0000 0.0000 x4
Sb 0.2500 0.2500 0.2500 x4
As 0.0000 0.0000 0.5000 x4
As 0.2500 0.2500 0.7500 x4

Calculated values
- V: 22.4 Å³/atom
- Energy relative to the elements, uncorrected: 0.3260 eV per atom

---

No. 2
Below is a relaxed structure of CeGaPd3, with properties calculated at the PBE level.

Unit cell a=5.2977 b=15.5470 c=5.1944 alpha=90.00 beta=90.00 gamma=90.00
Space group Cmcm (No. 63)
Symmetry-distinct sites (fractional):
Ce 0.0000 0.0841 0.2500 x4
Ga 0.0000 0.3587 0.2500 x4
Pd 0.0000 0.5000 0.0000 x4
Pd 0.2394 0.2773 0.7500 x8

Calculated values
- DFT formation energy: -0.3588 eV per atom
- V: 21.4 Å³/atom

---

No. 3
Below is a relaxed structure of PaGaRh6, with properties calculated at the PBE level.

Unit cell a=5.6043 b=5.6043 c=3.9584 alpha=90.00 beta=90.00 gamma=90.00
Space group P4/mmm (No. 123)
Symmetry-distinct sites (fractional):
Pa 0.0000 0.0000 0.0000 x1
Ga 0.5000 0.5000 0.0000 x1
Rh 0.0000 0.5000 0.0000 x2
Rh 0.2575 0.2575 0.5000 x4

Calculated values
- DFT formation energy: -0.5785 eV per atom
- V: 15.5 Å³/atom

---

No. 4
Below is a relaxed structure of CdMoRu2, with properties calculated at the PBE level.

Unit cell a=2.8216 b=4.0978 c=5.7000 alpha=90.00 beta=101.70 gamma=90.00
Space group P2/m (No. 10)
Symmetry-distinct sites (fractional):
Cd 0.0000 0.0000 0.0000 x1
Mo 0.0000 0.0000 0.5000 x1
Ru 0.4003 0.5000 0.7262 x2

Calculated values
- DFT formation energy: 0.3505 eV per atom
- V: 16.1 Å³/atom

---

No. 5
Below is a relaxed structure of HPd2Pb, with properties calculated at the PBE level.

Unit cell a=5.5797 b=9.7397 c=4.8403 alpha=90.00 beta=111.75 gamma=90.00
Space group C2/c (No. 15)
Symmetry-distinct sites (fractional):
H 0.0000 0.0008 0.2500 x4
Pd 0.2104 0.1004 0.5981 x8
Pb 0.0000 0.3441 0.7500 x4

Calculated values
- V: 15.3 Å³/atom

---

No. 6
Below is a relaxed structure of PmPrNi3, with properties calculated at the PBE level.

Unit cell a=4.0049 b=24.6333 c=4.0536 alpha=90.00 beta=90.00 gamma=90.00
Space group Cmcm (No. 63)
Symmetry-distinct sites (fractional):
Pm 0.0000 0.2024 0.2500 x4
Pr 0.0000 0.0705 0.7500 x4
Ni 0.0000 0.3269 0.2500 x4
Ni 0.0000 0.3803 0.7500 x4
Ni 0.0000 0.4756 0.7500 x4

Calculated values
- DFT formation energy: -0.3182 eV per atom
- V: 20.0 Å³/atom

---

No. 7
Below is a relaxed structure of DyErAl2, with properties calculated at the PBE level.

Unit cell a=7.1736 b=7.1736 c=7.1736 alpha=90.00 beta=90.00 gamma=90.00
Space group Fm-3m (No. 225)
Symmetry-distinct sites (fractional):
Dy 0.0000 0.0000 0.0000 x4
Er 0.0000 0.0000 0.5000 x4
Al 0.2500 0.2500 0.2500 x8

Calculated values
- DFT formation energy: -0.3959 eV per atom
- V: 23.1 Å³/atom

---

No. 8
Below is a relaxed structure of Sr3PmSm3S8, with properties calculated at the PBE level.

Unit cell a=8.1597 b=8.1597 c=20.6940 alpha=90.00 beta=90.00 gamma=120.00
Space group R-3m (No. 166, hexagonal axes)
Symmetry-distinct sites (fractional):
Sr 0.0000 0.5000 0.0000 x9
Pm 0.0000 0.0000 0.5000 x3
Sm 0.0000 0.5000 0.5000 x9
S 0.0000 0.0000 0.2452 x6
S 0.0011 0.5005 0.2433 x18

Calculated values
- V: 26.5 Å³/atom
- Energy relative to the elements, uncorrected: -2.0719 eV per atom

---

No. 9
Below is a relaxed structure of AlAg2MoN, with properties calculated at the PBE level.

Unit cell a=4.6618 b=4.6618 c=4.8755 alpha=90.00 beta=90.00 gamma=90.00
Space group P4/mmm (No. 123)
Symmetry-distinct sites (fractional):
Al 0.0000 0.0000 0.0000 x1
Ag 0.0000 0.5000 0.0000 x2
Mo 0.0000 0.0000 0.5000 x1
N 0.5000 0.5000 0.5000 x1

Calculated values
- V: 21.2 Å³/atom
- Energy relative to the elements, uncorrected: 2.0008 eV per atom

---

No. 10
Below is a relaxed structure of Ba2TiRe, with properties calculated at the PBE level.

Unit cell a=12.3245 b=12.3245 c=4.6691 alpha=90.00 beta=90.00 gamma=90.00
Space group I-42d (No. 122)
Symmetry-distinct sites (fractional):
Ba 0.0657 0.2500 0.1250 x8
Ti 0.0000 0.0000 0.5000 x4
Re 0.0000 0.0000 0.0000 x4

Calculated values
- DFT formation energy: 0.8822 eV per atom
- V: 44.3 Å³/atom

---

No. 11
Below is a relaxed structure of KScVCl6, with properties calculated at the PBE level.

Unit cell a=6.4375 b=6.4375 c=14.2526 alpha=90.00 beta=90.00 gamma=120.00
Space group P-31c (No. 163)
Symmetry-distinct sites (fractional):
K 0.0000 0.0000 0.0000 x2
Sc 0.3333 0.6667 0.2500 x2
V 0.3333 0.6667 0.7500 x2
Cl 0.0033 0.3670 0.6498 x12

Calculated values
- V: 28.4 Å³/atom
- Energy relative to the elements, uncorrected: -1.7846 eV per atom

---

No. 12
Below is a relaxed structure of Tb3Nd2Y4, with properties calculated at the PBE level.

Unit cell a=17.9756 b=3.5445 c=9.7049 alpha=90.00 beta=104.40 gamma=90.00
Space group C2/m (No. 12)
Symmetry-distinct sites (fractional):
Tb 0.0000 0.0000 0.0000 x2
Tb 0.1699 0.0000 0.9000 x4
Nd 0.1599 0.5000 0.2114 x4
Y 0.0127 0.5000 0.6792 x4
Y 0.1533 0.0000 0.5288 x4

Calculated values
- DFT formation energy: 0.0807 eV per atom
- V: 33.3 Å³/atom

---

No. 13
Below is a relaxed structure of TiReI2O, with properties calculated at the PBE level.

Unit cell a=5.5912 b=5.5912 c=3.7520 alpha=90.00 beta=90.00 gamma=90.00
Space group P4/mmm (No. 123)
Symmetry-distinct sites (fractional):
Ti 0.0000 0.0000 0.0000 x1
Re 0.5000 0.5000 0.5000 x1
I 0.0000 0.5000 0.5000 x2
O 0.5000 0.5000 0.0000 x1

Calculated values
- V: 23.5 Å³/atom
- Energy relative to the elements, uncorrected: 0.1473 eV per atom

---

No. 14
Below is a relaxed structure of Ba2LaZnFe, with properties calculated at the PBE level.

Unit cell a=5.6886 b=5.6886 c=4.9962 alpha=90.00 beta=90.00 gamma=90.00
Space group P4/mmm (No. 123)
Symmetry-distinct sites (fractional):
Ba 0.0000 0.5000 0.0000 x2
La 0.0000 0.0000 0.5000 x1
Zn 0.5000 0.5000 0.5000 x1
Fe 0.5000 0.5000 0.0000 x1

Calculated values
- DFT formation energy: 0.5999 eV per atom
- V: 32.3 Å³/atom

---

No. 15
Below is a relaxed structure of SrIr, with properties calculated at the PBE level.

Unit cell a=4.3688 b=4.3688 c=9.6082 alpha=90.00 beta=90.00 gamma=90.00
Space group I4_1/amd (No. 141, origin choice 2)
Symmetry-distinct sites (fractional):
Sr 0.0000 0.2500 0.3750 x4
Ir 0.0000 0.2500 0.8750 x4

Calculated values
- DFT formation energy: 0.3904 eV per atom
- V: 22.9 Å³/atom

---

No. 16
Below is a relaxed structure of Tb3TlTe2, with properties calculated at the PBE level.

Unit cell a=6.1646 b=14.2240 c=4.7268 alpha=90.00 beta=90.00 gamma=90.00
Space group Cmmm (No. 65)
Symmetry-distinct sites (fractional):
Tb 0.0000 0.0000 0.0000 x2
Tb 0.0000 0.3659 0.5000 x4
Tl 0.0000 0.5000 0.0000 x2
Te 0.0000 0.1479 0.5000 x4

Calculated values
- V: 34.5 Å³/atom
- Energy relative to the elements, uncorrected: -0.8979 eV per atom

---

No. 17
Below is a relaxed structure of BePd2Au, with properties calculated at the PBE level.

Unit cell a=3.1183 b=7.6164 c=4.9953 alpha=90.00 beta=108.17 gamma=90.00
Space group P2_1/m (No. 11)
Symmetry-distinct sites (fractional):
Be 0.2372 0.2500 0.4720 x2
Pd 0.3607 0.5612 0.7226 x4
Au 0.0679 0.7500 0.1351 x2

Calculated values
- DFT formation energy: -0.3456 eV per atom
- V: 14.1 Å³/atom

---

No. 18
Below is a relaxed structure of YThPd2, with properties calculated at the PBE level.

Unit cell a=3.7887 b=4.6333 c=5.7250 alpha=90.00 beta=109.21 gamma=90.00
Space group Pm (No. 6)
Symmetry-distinct sites (fractional):
Y 0.0000 0.0000 0.0000 x1
Th 0.7263 0.5000 0.4511 x1
Pd 0.2745 0.0000 0.5479 x1
Pd 0.4505 0.5000 0.8999 x1

Calculated values
- DFT formation energy: -0.8437 eV per atom
- V: 23.7 Å³/atom

---

Calculated uncorrected energy (eV/atom), listed in the same order as above: -3.2581; -5.2666; -7.6574; -7.2239; -4.5245; -5.6930; -4.5584; -5.8701; -3.7195; -5.1650; -4.8543; -5.3951; -5.5330; -3.1020; -4.8810; -4.6547; -4.6929; -6.9111